(1)
This record from Alexandria via LeMat-Bulk describes an optimized crystal structure of Mg6In4Pb. The functional is PBE.

The structure in CIF format:
```
data_Mg6In4Pb
_symmetry_space_group_name_H-M 'I -4 2 m'
_symmetry_Int_Tables_number 121
_symmetry_space_group_name_Hall 'I -4 2'
_cell_length_a 6.842
_cell_length_b 6.842
_cell_length_c 12.642
_cell_angle_alpha 90.00
_cell_angle_beta 90.00
_cell_angle_gamma 90.00
loop_
_atom_site_label
_atom_site_type_symbol
_atom_site_fract_x
_atom_site_fract_y
_atom_site_fract_z
Mg1 Mg 0.000 0.500 0.000
Mg2 Mg 0.236 0.236 0.169
In1 In 0.163 0.163 0.392
Pb1 Pb 0.000 0.000 0.000
```

Properties
ΔH_f (0 K) (eV/atom): 0.0682
Total moment (μB/f.u.): 0.0


(2)
This record from Alexandria via LeMat-Bulk describes an optimized crystal structure of MgIn2Pb. The functional is PBE.

The structure in CIF format:
```
data_MgIn2Pb
_symmetry_space_group_name_H-M 'P 1 m 1'
_symmetry_Int_Tables_number 6
_symmetry_space_group_name_Hall 'P -2y'
_cell_length_a 3.553
_cell_length_b 4.465
_cell_length_c 6.740
_cell_angle_alpha 90.00
_cell_angle_beta 92.91
_cell_angle_gamma 90.00
loop_
_atom_site_label
_atom_site_type_symbol
_atom_site_fract_x
_atom_site_fract_y
_atom_site_fract_z
Mg1 Mg 0.000 0.000 0.000
In1 In 0.008 0.000 0.519
In2 In 0.513 0.500 0.761
Pb1 Pb 0.501 0.500 0.250
```

Properties
ΔH_f (0 K) (eV/atom): -0.0155
Total moment (μB/f.u.): 0.0


(3)
This record from Alexandria via LeMat-Bulk describes an optimized crystal structure of Mg4InPb2. The functional is PBE.

The structure in CIF format:
```
data_Mg4InPb2
_symmetry_space_group_name_H-M 'C 1 c 1'
_symmetry_Int_Tables_number 9
_symmetry_space_group_name_Hall 'C -2yc'
_cell_length_a 8.899
_cell_length_b 12.784
_cell_length_c 7.778
_cell_angle_alpha 90.00
_cell_angle_beta 124.78
_cell_angle_gamma 90.00
loop_
_atom_site_label
_atom_site_type_symbol
_atom_site_fract_x
_atom_site_fract_y
_atom_site_fract_z
Mg1 Mg 0.000 0.002 0.000
Mg2 Mg 0.171 0.334 0.664
Mg3 Mg 0.418 0.252 0.336
Mg4 Mg 0.423 0.084 0.671
In1 In 0.253 0.125 0.918
Pb1 Pb 0.070 0.183 0.302
Pb2 Pb 0.186 0.433 0.034
```

Properties
ΔH_f (0 K) (eV/atom): -0.0087
Total moment (μB/f.u.): 0.0
Energy above the most stable polymorph in this dataset (eV per atom): 0.0000


(4)
This record from Alexandria via LeMat-Bulk describes an optimized crystal structure of MgInPb3. The functional is PBE.

The structure in CIF format:
```
data_MgInPb3
_symmetry_space_group_name_H-M 'P 1 21/m 1'
_symmetry_Int_Tables_number 11
_symmetry_space_group_name_Hall '-P 2yb'
_cell_length_a 4.736
_cell_length_b 6.973
_cell_length_c 9.179
_cell_angle_alpha 90.00
_cell_angle_beta 104.21
_cell_angle_gamma 90.00
loop_
_atom_site_label
_atom_site_type_symbol
_atom_site_fract_x
_atom_site_fract_y
_atom_site_fract_z
Mg1 Mg 0.001 0.250 0.003
In1 In 0.184 0.750 0.371
Pb1 Pb 0.188 0.250 0.382
Pb2 Pb 0.405 0.003 0.813
```

Properties
ΔH_f (0 K) (eV/atom): 0.0075
Total moment (μB/f.u.): 0.0
Energy above the most stable polymorph in this dataset (eV per atom): 0.0032


(5)
This record from Alexandria via LeMat-Bulk describes an optimized crystal structure of MgInPb3. The functional is PBE.

The structure in CIF format:
```
data_MgInPb3
_symmetry_space_group_name_H-M 'P 1 21/c 1'
_symmetry_Int_Tables_number 14
_symmetry_space_group_name_Hall '-P 2ybc'
_cell_length_a 7.557
_cell_length_b 6.043
_cell_length_c 13.024
_cell_angle_alpha 90.00
_cell_angle_beta 104.20
_cell_angle_gamma 90.00
loop_
_atom_site_label
_atom_site_type_symbol
_atom_site_fract_x
_atom_site_fract_y
_atom_site_fract_z
Mg1 Mg 0.052 0.098 0.203
In1 In 0.137 0.604 0.115
Pb1 Pb 0.230 0.121 0.008
Pb2 Pb 0.324 0.634 0.904
Pb3 Pb 0.448 0.145 0.800
```

Properties
ΔH_f (0 K) (eV/atom): 0.0043
Total moment (μB/f.u.): 0.0
Energy above the most stable polymorph in this dataset (eV per atom): 0.0000


(6)
This record from Alexandria via LeMat-Bulk describes an optimized crystal structure of Mg4InPb2. The functional is PBE.

The structure in CIF format:
```
data_Mg4InPb2
_symmetry_space_group_name_H-M 'I 4/m m m'
_symmetry_Int_Tables_number 139
_symmetry_space_group_name_Hall '-I 4 2'
_cell_length_a 5.363
_cell_length_b 5.363
_cell_length_c 15.132
_cell_angle_alpha 90.00
_cell_angle_beta 90.00
_cell_angle_gamma 90.00
loop_
_atom_site_label
_atom_site_type_symbol
_atom_site_fract_x
_atom_site_fract_y
_atom_site_fract_z
Mg1 Mg 0.000 0.000 0.187
Mg2 Mg 0.000 0.500 0.000
In1 In 0.000 0.000 0.000
Pb1 Pb 0.000 0.000 0.381
```

Properties
ΔH_f (0 K) (eV/atom): 0.2739
Total moment (μB/f.u.): 0.0
Energy above the most stable polymorph in this dataset (eV per atom): 0.2826


(7)
This record from Alexandria via LeMat-Bulk describes an optimized crystal structure of MgIn12Pb7. The functional is PBE.

The structure in CIF format:
```
data_MgIn12Pb7
_symmetry_space_group_name_H-M 'R -3 m'
_symmetry_Int_Tables_number 166
_symmetry_space_group_name_Hall '-R 3 2"'
_cell_length_a 13.0678
_cell_length_b 13.0678
_cell_length_c 11.5917
_cell_angle_alpha 90.00
_cell_angle_beta 90.00
_cell_angle_gamma 120.00
loop_
_atom_site_label
_atom_site_type_symbol
_atom_site_fract_x
_atom_site_fract_y
_atom_site_fract_z
Mg1 Mg 0.0000 0.0000 0.0000
In1 In 0.0000 0.2583 0.0000
In2 In 0.0408 0.5204 0.1261
Pb1 Pb 0.0000 0.0000 0.5000
Pb2 Pb 0.0876 0.1753 0.7653
```

Properties
ΔH_f (0 K) (eV/atom): 0.0389
Total moment (μB/f.u.): 0.0


(8)
This record from Alexandria via LeMat-Bulk describes an optimized crystal structure of Mg8InPb4. The functional is PBE.

The structure in CIF format:
```
data_Mg8InPb4
_symmetry_space_group_name_H-M 'P m m 2'
_symmetry_Int_Tables_number 25
_symmetry_space_group_name_Hall 'P 2 -2'
_cell_length_a 4.501
_cell_length_b 4.594
_cell_length_c 16.396
_cell_angle_alpha 90.00
_cell_angle_beta 90.00
_cell_angle_gamma 90.00
loop_
_atom_site_label
_atom_site_type_symbol
_atom_site_fract_x
_atom_site_fract_y
_atom_site_fract_z
Mg1 Mg 0.000 0.000 0.000
Mg2 Mg 0.000 0.000 0.269
Mg3 Mg 0.000 0.500 0.139
Mg4 Mg 0.000 0.500 0.558
Mg5 Mg 0.500 0.000 0.558
Mg6 Mg 0.500 0.000 0.851
Mg7 Mg 0.500 0.500 0.001
Mg8 Mg 0.500 0.500 0.704
In1 In 0.000 0.000 0.440
Pb1 Pb 0.000 0.000 0.698
Pb2 Pb 0.000 0.500 0.865
Pb3 Pb 0.500 0.000 0.140
Pb4 Pb 0.500 0.500 0.394
```

Properties
ΔH_f (0 K) (eV/atom): -0.0060
Total moment (μB/f.u.): 0.0


| no. | N(E_F) (states/eV per cell) |
| --- | --- |
| 1 | 7.265 |
| 2 | 1.755 |
| 3 | 11.996 |
| 4 | 4.133 |
| 5 | 8.952 |
| 6 | 7.388 |
| 7 | 32.881 |
| 8 | 5.097 |